First-principles (PBE+U) data for a relaxed structure of TbCo3Rh4O12, as listed in Alexandria via LeMat-Bulk.

Cell lengths 6.534, 6.534, 6.534 Å; angles 109.47, 109.47, 109.47 degrees
Element x y z (fractional)
Tb (0.000, 0.000, 0.000)
Co (0.000, 0.500, 0.500)
Co (0.500, 0.500, 0.000)
Co (0.500, 0.000, 0.500)
Rh (0.500, 0.000, 0.000)
Rh (0.500, 0.500, 0.500)
Rh (0.000, 0.500, 0.000)
Rh (0.000, 0.000, 0.500)
O (0.304, 0.833, 0.137)
O (0.696, 0.167, 0.863)
O (0.696, 0.833, 0.529)
O (0.863, 0.696, 0.167)
O (0.833, 0.137, 0.304)
O (0.167, 0.471, 0.304)
O (0.471, 0.304, 0.167)
O (0.167, 0.863, 0.696)
O (0.304, 0.167, 0.471)
O (0.137, 0.304, 0.833)
O (0.833, 0.529, 0.696)
O (0.529, 0.696, 0.833)

Summary:
Total DFT energy (no corrections): -131.183 eV per cell